This record from Alexandria describes NdTiGe after structural relaxation. The functional is PBE-GGA.

Results
symmetry = P4/nmm, No. 129
volume = 22.656 Å³ per atom
DFT total energy = -38.3 eV/cell

abc: 4.137 4.137 7.942
angles: 90.00 90.00 90.00
Fractional coordinates of all 6 atoms:
Nd 0.000 0.500 0.345
Nd 0.500 0.000 0.655
Ti 0.500 0.500 0.000
Ti 0.000 0.000 0.000
Ge 0.500 0.000 0.226
Ge 0.000 0.500 0.774

This record from Alexandria describes Sb3PdSe after structural relaxation. The functional is PBE-GGA.

Results
symmetry = Pm-3m, No. 221
formation energy from raw total energies = 81.1 kJ per mole of atoms
volume = 30.382 Å³ per atom
offset from the most stable computed form = 978 meV per atom

abc: 5.336 5.336 5.336
angles: 90.00 90.00 90.00
Fractional coordinates of all 5 atoms:
Sb 0.000 0.500 0.000
Sb 0.000 0.000 0.500
Sb 0.500 0.000 0.000
Se 0.000 0.000 0.000
Pd 0.500 0.500 0.500

This record from Alexandria describes B5C7 after structural relaxation. The functional is PBE-GGA.

Results
symmetry = Pmm2, No. 25
volume = 6.589 Å³ per atom
offset from the most stable computed form = 77 meV per atom

abc: 2.520 2.548 12.314
angles: 90.00 90.00 90.00
Fractional coordinates of all 12 atoms:
B 0.500 0.500 0.823
B 0.500 0.000 0.936
B 0.500 0.000 0.558
B 0.000 0.000 0.672
B 0.500 0.500 0.178
C 0.500 0.500 0.478
C 0.000 0.500 0.747
C 0.500 0.000 0.261
C 0.000 0.000 0.331
C 0.000 0.500 0.408
C 0.000 0.000 0.021
C 0.000 0.500 0.088

This record from Alexandria describes YCdH3 after structural relaxation. The functional is PBE-GGA.

Results
symmetry = Pm-3m, No. 221
volume = 14.667 Å³ per atom
offset from the most stable computed form = 0 meV per atom

abc: 4.186 4.186 4.186
angles: 90.00 90.00 90.00
Fractional coordinates of all 5 atoms:
Y 0.000 0.000 0.000
H 0.000 0.500 0.000
H 0.000 0.000 0.500
H 0.500 0.000 0.000
Cd 0.500 0.500 0.500

This record from Alexandria describes La2MgBi3 after structural relaxation. The functional is PBE-GGA.

Results
symmetry = C2/c, No. 15
volume = 34.402 Å³ per atom
DFT total energy = -53.7 eV/cell

abc: 6.831 9.725 7.494
angles: 108.87 117.11 90.00
Fractional coordinates of all 12 atoms:
La 0.679 0.588 0.352
La 0.673 0.088 0.352
La 0.327 0.912 0.648
La 0.321 0.412 0.648
Mg 0.895 0.750 0.000
Mg 0.105 0.250 0.000
Bi 0.543 0.250 0.000
Bi 0.457 0.750 0.000
Bi 0.142 0.073 0.291
Bi 0.851 0.427 0.709
Bi 0.149 0.573 0.291
Bi 0.858 0.927 0.709

This record from Alexandria describes CuPt2W after structural relaxation. The functional is PBE-GGA.

Results
symmetry = P4/mmm, No. 123
volume = 14.922 Å³ per atom
offset from the most stable computed form = 366 meV per atom

abc: 3.918 3.903 3.903
angles: 90.00 90.00 90.00
Fractional coordinates of all 4 atoms:
Cu 0.500 0.000 0.500
Pt 0.000 0.000 0.000
Pt 0.000 0.500 0.500
W 0.500 0.500 0.000

This record from Alexandria describes Ta2NbHPt after structural relaxation. The functional is PBE-GGA.

Results
symmetry = P4/mmm, No. 123
volume = 14.406 Å³ per atom
offset from the most stable computed form = 53 meV per atom

abc: 4.423 4.423 3.682
angles: 90.00 90.00 90.00
Fractional coordinates of all 5 atoms:
H 0.000 0.000 0.000
Nb 0.500 0.500 0.500
Pt 0.000 0.000 0.500
Ta 0.000 0.500 0.000
Ta 0.500 0.000 0.000

This record from Alexandria describes CaCo4Os after structural relaxation. The functional is PBE-GGA.

Results
symmetry = F-43m, No. 216
volume = 13.695 Å³ per atom
DFT total energy = -40.0 eV/cell

abc: 4.880 4.880 4.880
angles: 60.00 60.00 60.00
Fractional coordinates of all 6 atoms:
Ca 0.000 0.000 0.000
Co 0.873 0.376 0.376
Co 0.376 0.376 0.873
Co 0.376 0.873 0.376
Co 0.376 0.376 0.376
Os 0.750 0.750 0.750